Here is crystalline LiZrO2 at its relaxed geometry from Alexandria. Energies are from PBE-GGA.

- Space group: No. 59

Cell lengths 3.1190, 5.3673, 5.3093 Å; angles 90.00, 90.00, 90.00 degrees
Fractional positions:
Li (0.2500, 0.2500, 0.0869)
Li (0.7500, 0.7500, 0.9131)
Zr (0.2500, 0.7500, 0.4150)
Zr (0.7500, 0.2500, 0.5850)
O (0.2500, 0.0056, 0.7454)
O (0.2500, 0.4944, 0.7454)
O (0.7500, 0.5056, 0.2546)
O (0.7500, 0.9944, 0.2546)

Here is crystalline BaCaIr2 at its relaxed geometry from Alexandria. Energies are from PBE-GGA.

- Space group: No. 160
- Energy of formation: -0.258 eV/atom
- Energy above the lowest structure with this stoichiometry: 0 meV per atom

Cell lengths 8.5493, 8.5493, 8.5493 Å; angles 29.59, 29.59, 29.59 degrees
Fractional positions:
Ba (0.0000, 0.0000, 0.0000)
Ca (0.8399, 0.8399, 0.8399)
Ir (0.2442, 0.2442, 0.2442)
Ir (0.5775, 0.5775, 0.5775)

Here is crystalline Li2TeSe3 at its relaxed geometry from Alexandria. Energies are from PBE-GGA.

- Space group: No. 71
- Energy above the lowest structure with this stoichiometry: 11 meV per atom

Cell lengths 6.9520, 6.9520, 6.9520 Å; angles 146.69, 133.07, 58.77 degrees
Fractional positions:
Li (0.1505, 0.1505, 0.0000)
Li (0.8495, 0.8495, 0.0000)
Te (0.5000, 0.5000, 0.0000)
Se (0.0000, 0.5000, 0.5000)
Se (0.3363, 0.8363, 0.5000)
Se (0.6637, 0.1637, 0.5000)

Here is crystalline TbPrSm2 at its relaxed geometry from Alexandria. Energies are from PBE-GGA.

- Space group: No. 123
- Energy of formation: 0.118 eV/atom
- Energy above the lowest structure with this stoichiometry: 103 meV per atom

Cell lengths 4.2901, 4.2901, 7.3825 Å; angles 90.00, 90.00, 90.00 degrees
Fractional positions:
Tb (0.0000, 0.0000, 0.0000)
Pr (0.0000, 0.0000, 0.5000)
Sm (0.5000, 0.5000, 0.2453)
Sm (0.5000, 0.5000, 0.7547)

Here is crystalline Li3ZrBi2Se6 at its relaxed geometry from Alexandria. Energies are from PBE-GGA.

- Space group: No. 12

Cell lengths 7.1627, 7.1627, 6.8654 Å; angles 100.11, 100.11, 120.28 degrees
Fractional positions:
Li (0.0000, 0.0000, 0.0000)
Li (0.3237, 0.6763, 0.0000)
Li (0.6763, 0.3237, 0.0000)
Zr (0.5000, 0.5000, 0.5000)
Bi (0.1647, 0.8353, 0.5000)
Bi (0.8353, 0.1647, 0.5000)
Se (0.1001, 0.4150, 0.2456)
Se (0.2728, 0.2728, 0.7540)
Se (0.4150, 0.1001, 0.2456)
Se (0.5850, 0.8999, 0.7544)
Se (0.7272, 0.7272, 0.2460)
Se (0.8999, 0.5850, 0.7544)

Here is crystalline Na3Te2Au at its relaxed geometry from Alexandria. Energies are from PBE-GGA.

- Space group: No. 72

Cell lengths 8.9691, 8.9691, 8.9691 Å; angles 136.32, 62.39, 137.74 degrees
Fractional positions:
Na (0.1689, 0.7230, 0.8919)
Na (0.2500, 0.2500, 0.0000)
Na (0.3311, 0.2230, 0.5542)
Na (0.6689, 0.7770, 0.4458)
Na (0.7500, 0.7500, 0.0000)
Na (0.8311, 0.2770, 0.1081)
Te (0.1238, 0.2586, 0.3824)
Te (0.3762, 0.7586, 0.1347)
Te (0.6238, 0.2414, 0.8653)
Te (0.8762, 0.7414, 0.6176)
Au (0.2500, 0.7500, 0.5000)
Au (0.7500, 0.2500, 0.5000)

Here is crystalline BaNb2ReW at its relaxed geometry from Alexandria. Energies are from PBE-GGA.

- Space group: No. 123
- Energy of formation: 1.318 eV/atom

Cell lengths 5.0276, 5.0276, 4.9497 Å; angles 90.00, 90.00, 90.00 degrees
Fractional positions:
Ba (0.0000, 0.0000, 0.0000)
Nb (0.0000, 0.5000, 0.5000)
Nb (0.5000, 0.0000, 0.5000)
Re (0.5000, 0.5000, 0.0000)
W (0.5000, 0.5000, 0.5000)

Here is crystalline SiPbCl2 at its relaxed geometry from Alexandria. Energies are from PBE-GGA.

- Space group: No. 65
- Energy above the lowest structure with this stoichiometry: 212 meV per atom

Cell lengths 3.5013, 3.5013, 9.2380 Å; angles 90.00, 90.00, 120.85 degrees
Fractional positions:
Si (0.0000, 0.0000, 0.0000)
Pb (0.0000, 0.0000, 0.5000)
Cl (0.5000, 0.5000, 0.2151)
Cl (0.5000, 0.5000, 0.7849)

Here is crystalline Li2TaW at its relaxed geometry from Alexandria. Energies are from PBE-GGA.

- Space group: No. 119
- Energy of formation: 0.667 eV/atom
- Energy above the lowest structure with this stoichiometry: 430 meV per atom

Cell lengths 4.8318, 4.8318, 4.8318 Å; angles 132.34, 132.34, 69.69 degrees
Fractional positions:
Li (0.0000, 0.0000, 0.0000)
Li (0.7500, 0.2500, 0.5000)
Ta (0.2500, 0.7500, 0.5000)
W (0.5000, 0.5000, 0.0000)

Here is crystalline LiAgBiAs at its relaxed geometry from Alexandria. Energies are from PBE-GGA.

- Space group: No. 216
- Energy of formation: -0.043 eV/atom

Cell lengths 4.9377, 4.9377, 4.9377 Å; angles 60.00, 60.00, 60.00 degrees
Fractional positions:
Li (0.0000, 0.0000, 0.0000)
Ag (0.5000, 0.5000, 0.5000)
Bi (0.2500, 0.2500, 0.2500)
As (0.7500, 0.7500, 0.7500)

Here is crystalline La2TlTc at its relaxed geometry from Alexandria. Energies are from PBE-GGA.

- Space group: No. 44
- Energy of formation: 0.026 eV/atom

Cell lengths 6.6871, 6.6871, 6.6871 Å; angles 149.09, 134.71, 55.84 degrees
Fractional positions:
La (0.0000, 0.0000, 0.0000)
La (0.6946, 0.1946, 0.5000)
Tl (0.3898, 0.3898, 0.0000)
Tc (0.1985, 0.6985, 0.5000)

Here is crystalline ThSiO4 at its relaxed geometry from Alexandria. Energies are from PBE-GGA.

- Space group: No. 14

Cell lengths 6.5556, 7.0229, 8.1475 Å; angles 90.00, 125.74, 90.00 degrees
Fractional positions:
Th (0.1875, 0.1528, 0.2842)
Th (0.1875, 0.3472, 0.7842)
Th (0.8125, 0.6528, 0.2158)
Th (0.8125, 0.8472, 0.7158)
Si (0.3092, 0.6615, 0.1983)
Si (0.3092, 0.8385, 0.6983)
Si (0.6908, 0.1615, 0.3017)
Si (0.6908, 0.3385, 0.8017)
O (0.1077, 0.6606, 0.6117)
O (0.1077, 0.8394, 0.1117)
O (0.1736, 0.0031, 0.7475)
O (0.1736, 0.4969, 0.2475)
O (0.3483, 0.6033, 0.0228)
O (0.3483, 0.8967, 0.5228)
O (0.3987, 0.2126, 0.1191)
O (0.3987, 0.2874, 0.6191)
O (0.6013, 0.7126, 0.3809)
O (0.6013, 0.7874, 0.8809)
O (0.6517, 0.1033, 0.4772)
O (0.6517, 0.3967, 0.9772)
O (0.8264, 0.5031, 0.7525)
O (0.8264, 0.9969, 0.2525)
O (0.8923, 0.1606, 0.8883)
O (0.8923, 0.3394, 0.3883)

Summary of VASP energy in eV/f.u.
-30.20; -22.68; -21.17; -18.37; -53.33; -17.49; -40.88; -13.51; -25.97; -13.47; -22.48; -52.62
(order as listed above)